1.
Pm2Os3Ru, optimized geometry, DFT GGA-PBE; formation enthalpy at 0 K = -145 meV/atom; crystal system = trigonal; SG = R-3m, No. 166
1.0
2.669 1.541 4.565
-2.669 1.541 4.565
0.000 -3.082 4.565
Pm Os Ru
2 3 1
Direct
0.124 0.124 0.124
0.876 0.876 0.876
0.000 0.500 0.500
0.500 0.000 0.500
0.500 0.500 0.000
0.500 0.500 0.500

---

2.
PmScOsRu, optimized geometry, DFT GGA-PBE; formation enthalpy at 0 K = -150 meV/atom; crystal system = cubic; SG = F-43m, No. 216
1.0
0.000 3.352 3.352
3.352 0.000 3.352
3.352 3.352 0.000
Pm Sc Os Ru
1 1 1 1
Direct
0.000 0.000 0.000
0.500 0.500 0.500
0.250 0.250 0.250
0.750 0.750 0.750

---

3.
PmSi3OsRu, optimized geometry, DFT GGA-PBE; energy relative to the elements, uncorrected = -0.4017 eV/atom; crystal system = orthorhombic; SG = Cmcm, No. 63
1.0
3.779 -5.574 0.000
3.779 5.574 0.000
0.000 0.000 5.531
Pm Si Os Ru
2 6 2 2
Direct
0.248 0.752 0.750
0.752 0.248 0.250
0.250 0.750 0.250
0.252 0.252 0.000
0.252 0.252 0.500
0.748 0.748 0.000
0.748 0.748 0.500
0.750 0.250 0.750
0.051 0.949 0.250
0.949 0.051 0.750
0.446 0.554 0.250
0.554 0.446 0.750

---

4.
PmSi2OsRu, optimized geometry, DFT GGA-PBE; energy relative to the elements, uncorrected = -0.8065 eV/atom; crystal system = tetragonal; SG = I-4m2, No. 119
1.0
-2.103 2.103 4.888
2.103 -2.103 4.888
2.103 2.103 -4.888
Pm Si Os Ru
1 2 1 1
Direct
0.000 0.000 0.000
0.368 0.368 0.000
0.632 0.632 0.000
0.750 0.250 0.500
0.250 0.750 0.500

---

5.
PmSmOsRu, optimized geometry, DFT GGA-PBE; formation enthalpy at 0 K = 20 meV/atom; crystal system = cubic; SG = F-43m, No. 216
1.0
0.000 3.481 3.481
3.481 0.000 3.481
3.481 3.481 0.000
Pm Sm Os Ru
1 1 1 1
Direct
0.000 0.000 0.000
0.500 0.500 0.500
0.250 0.250 0.250
0.750 0.750 0.750

---

6.
PmTaOsRu, optimized geometry, DFT GGA-PBE; formation enthalpy at 0 K = -53 meV/atom; crystal system = cubic; SG = F-43m, No. 216
1.0
0.000 3.318 3.318
3.318 0.000 3.318
3.318 3.318 0.000
Pm Ta Os Ru
1 1 1 1
Direct
0.000 0.000 0.000
0.500 0.500 0.500
0.250 0.250 0.250
0.750 0.750 0.750

---

7.
PmTmOsRu, optimized geometry, DFT GGA-PBE; formation enthalpy at 0 K = -109 meV/atom; crystal system = cubic; SG = F-43m, No. 216
1.0
0.000 3.424 3.424
3.424 0.000 3.424
3.424 3.424 0.000
Pm Tm Os Ru
1 1 1 1
Direct
0.000 0.000 0.000
0.500 0.500 0.500
0.750 0.750 0.750
0.250 0.250 0.250

---

8.
PmUOsRu, optimized geometry, DFT GGA-PBE; formation enthalpy at 0 K = -220 meV/atom; crystal system = trigonal; energy relative to the lowest polymorph listed for this composition = 0 meV/atom; SG = R3m, No. 160
1.0
2.217 1.280 5.242
-2.217 1.280 5.242
0.000 -2.560 5.242
Pm U Os Ru
1 1 1 1
Direct
0.000 0.000 0.000
0.501 0.501 0.501
0.789 0.789 0.789
0.203 0.203 0.203

---

| no. | DOS at the Fermi energy (states/eV/f.u.) |
| --- | --- |
| 1 | 6.96 |
| 2 | 3.00 |
| 3 | 2.34 |
| 4 | 2.13 |
| 5 | 2.71 |
| 6 | 3.04 |
| 7 | 3.62 |
| 8 | 2.56 |